1.
7
Lattice="-0.393 3.562 -2.017 -2.094 -4.034 -2.525 -5.562 1.649 3.997" Properties=species:S:1:pos:R:3 comment="meta-GGA SCAN Eu2CN2Cl2, single point on PBEsol structure" density_g_cm3=5.04 m_tot_mub_per_cell=14.00 space_group="C2/m, No. 12" final_energy_ev_per_atom=-23.442 e_form_raw_ev_per_atom=-1.719 pbc="T T T"
Eu -5.522 -0.226 0.677
Eu -2.526 1.403 -1.222
C -2.781 0.825 1.998
Cl -5.500 2.607 1.484
Cl -2.549 -1.429 -2.028
N -3.013 0.206 0.951
N -5.036 0.971 -1.496


2.
4
Lattice="3.854 0.000 0.000 0.000 3.854 0.000 -1.927 -1.927 3.529" Properties=species:S:1:pos:R:3 comment="meta-GGA SCAN FeSi2Au, single point on PBEsol structure" density_g_cm3=9.79 m_tot_mub_per_cell=0.97 space_group="I4/mmm, No. 139" final_energy_ev_per_atom=-26.578 e_form_raw_ev_per_atom=0.252 pbc="T T T"
Au 1.927 1.927 0.000
Fe 0.000 0.000 0.000
Si 1.927 0.000 1.765
Si 0.000 1.927 1.765


3.
21
Lattice="3.762 0.000 0.000 -1.881 7.363 -0.142 0.000 -1.551 9.197" Properties=species:S:1:pos:R:3 comment="meta-GGA SCAN Ca2Ti6N2O11, single point on PBEsol structure" density_g_cm3=3.74 m_tot_mub_per_cell=0.00 space_group="Cm, No. 8" final_energy_ev_per_atom=-12.695 e_form_raw_ev_per_atom=-3.046 pbc="T T T"
Ca 0.000 6.691 1.539
Ca 1.881 -0.386 6.780
Ti 1.881 4.187 8.226
Ti 1.881 4.060 5.240
Ti 1.881 3.778 2.222
Ti 0.000 2.213 6.857
Ti 0.000 1.737 3.959
Ti 0.000 1.779 0.742
N 1.881 2.761 6.884
N 0.000 0.841 5.572
O 1.881 5.402 6.519
O 1.881 4.992 3.606
O 1.881 5.029 0.912
O 0.000 4.050 8.293
O 0.000 3.581 5.215
O 0.000 3.286 2.193
O 1.881 2.364 3.872
O 1.881 1.983 1.054
O 0.000 0.944 8.245
O 0.000 0.535 2.589
O 0.000 0.082 0.094


4.
6
Lattice="-0.589 0.042 4.178 -0.812 -5.807 -2.188 7.868 -0.935 1.119" Properties=species:S:1:pos:R:3 comment="meta-GGA SCAN SrSb2, single point on PBEsol structure" density_g_cm3=5.54 m_tot_mub_per_cell=0.00 space_group="C2/m, No. 12" final_energy_ev_per_atom=-32.934 e_form_raw_ev_per_atom=-0.669 pbc="T T T"
Sb 0.834 -1.321 0.131
Sb 4.201 -4.227 0.634
Sb 2.265 -2.473 2.475
Sb 5.632 -5.378 2.978
Sr 5.602 -2.004 2.940
Sr 0.864 -4.696 0.168


5.
4
Lattice="-2.128 -1.997 1.288 2.191 -2.318 0.028 1.481 1.457 4.708" Properties=species:S:1:pos:R:3 comment="meta-GGA SCAN Be2AgAs, single point on PBEsol structure" density_g_cm3=6.37 m_tot_mub_per_cell=0.00 space_group="P4/mmm, No. 123" final_energy_ev_per_atom=-14.758 formation_enthalpy_0k_ev_per_atom=0.308 pbc="T T T"
Be 1.062 1.045 3.376
Be 0.419 0.412 1.331
As 0.772 -1.429 3.012
Ag 0.031 -2.157 0.658


6.
4
Lattice="2.760 0.000 0.000 0.000 4.313 0.000 -1.380 -2.156 4.538" Properties=species:S:1:pos:R:3 comment="meta-GGA SCAN MnOsRh2, single point on PBEsol structure" density_g_cm3=13.87 m_tot_mub_per_cell=3.16 space_group="Imm2, No. 44" final_energy_ev_per_atom=-39.368 formation_enthalpy_0k_ev_per_atom=0.052 pbc="T T T"
Mn 1.380 2.156 0.033
Os 0.000 2.156 2.013
Rh 1.380 2.156 4.500
Rh 1.380 0.000 2.530


7.
4
Lattice="-0.320 2.209 -1.612 -2.300 -2.329 -2.734 -3.909 1.130 2.326" Properties=species:S:1:pos:R:3 comment="meta-GGA SCAN LiZn3, single point on PBEsol structure" density_g_cm3=6.13 m_tot_mub_per_cell=0.00 space_group="Pmm2, No. 25" final_energy_ev_per_atom=-10.873 formation_enthalpy_0k_ev_per_atom=-0.139 pbc="T T T"
Zn -2.137 1.676 0.371
Zn -4.578 0.885 -0.229
Zn -2.431 -0.794 -0.605
Li -3.898 1.127 2.319


8.
4
Lattice="3.819 0.000 0.000 0.000 3.689 0.000 -1.910 -1.844 7.351" Properties=species:S:1:pos:R:3 comment="meta-GGA SCAN InSe, single point on PBEsol structure" density_g_cm3=6.21 m_tot_mub_per_cell=0.00 space_group="Imma, No. 74" final_energy_ev_per_atom=-26.995 e_form_raw_ev_per_atom=-0.263 pbc="T T T"
In 0.000 0.922 6.062
In 1.910 0.922 1.289
Se 1.910 -0.922 5.170
Se 0.000 2.767 2.181


9.
8
Lattice="-1.087 3.522 -1.612 0.965 -1.806 -4.596 -4.594 -0.508 1.989" Properties=species:S:1:pos:R:3 comment="meta-GGA SCAN Co3Mo, single point on PBEsol structure" density_g_cm3=10.27 m_tot_mub_per_cell=3.03 space_group="P6_3/mmc, No. 194" final_energy_ev_per_atom=-21.566 formation_enthalpy_0k_ev_per_atom=0.133 pbc="T T T"
Co -4.510 1.924 -0.286
Co -4.013 0.995 -2.651
Co -2.570 -0.976 -2.911
Co -2.146 2.185 -1.309
Co -0.703 0.214 -1.569
Co -0.206 -0.715 -3.934
Mo -3.013 -0.060 -0.609
Mo -1.703 1.269 -3.610


10.
4
Lattice="-0.319 -0.023 -4.069 -2.029 -3.549 0.179 -7.928 4.552 0.596" Properties=species:S:1:pos:R:3 comment="meta-GGA SCAN KCa2Al, single point on PBEsol structure" density_g_cm3=1.59 m_tot_mub_per_cell=0.10 space_group="Pm, No. 6" final_energy_ev_per_atom=-8.736 formation_enthalpy_0k_ev_per_atom=0.116 pbc="T T T"
Ca -9.495 0.738 0.740
Ca -2.702 -0.904 -1.830
K -4.347 2.490 0.327
Al -7.654 1.934 -1.458


11.
10
Lattice="-0.691 2.819 -2.485 0.616 -4.096 -4.816 -6.217 -1.271 0.286" Properties=species:S:1:pos:R:3 comment="meta-GGA SCAN Ti2Ga2Pt, single point on PBEsol structure" density_g_cm3=9.27 m_tot_mub_per_cell=0.00 space_group="P4/mbm, No. 127" final_energy_ev_per_atom=-27.800 formation_enthalpy_0k_ev_per_atom=-0.811 pbc="T T T"
Ga -5.150 -2.591 -1.508
Ga -3.420 -4.348 -3.981
Ga -0.452 -2.776 -3.022
Ga -2.182 -1.018 -0.549
Pt 0.000 0.000 0.000
Pt -2.801 -2.683 -2.265
Ti -4.391 -0.124 -1.857
Ti -5.112 -2.382 -4.218
Ti -1.901 -2.424 -5.158
Ti -1.180 -0.166 -2.797


12.
5
Lattice="-3.151 -0.160 4.397 4.721 -0.282 3.373 0.130 5.800 0.304" Properties=species:S:1:pos:R:3 comment="meta-GGA SCAN TlCdCuBr2, single point on PBEsol structure" density_g_cm3=4.91 m_tot_mub_per_cell=0.36 space_group="P4/mmm, No. 123" final_energy_ev_per_atom=-30.934 e_form_raw_ev_per_atom=0.444 pbc="T T T"
Tl 0.000 0.000 0.000
Cu 0.850 2.679 4.037
Br 0.065 2.900 0.152
Br 2.361 -0.141 1.687
Cd -1.576 -0.080 2.199


13.
4
Lattice="4.842 0.000 0.000 -2.421 5.119 -0.180 0.000 2.437 4.184" Properties=species:S:1:pos:R:3 comment="meta-GGA SCAN La2MnSb, single point on PBEsol structure" density_g_cm3=7.13 m_tot_mub_per_cell=3.74 space_group="I4/mmm, No. 139" final_energy_ev_per_atom=-35.932 e_form_raw_ev_per_atom=-0.500 pbc="T T T"
La 0.000 3.169 0.956
La 2.421 4.387 3.048
Mn 2.421 1.219 2.092
Sb 0.000 0.000 0.000